# PaNiGe2O8, optimized geometry, DFT PBE with a Hubbard U
# DOS(E_F) in states/eV/f.u.: 8.633
# Raw total energy in eV per atom: -6.9195
data_PaNiGe2O8
_chemical_formula_sum 'Pa2 Ni2 Ge4 O16'
_symmetry_space_group_name_H-M 'I -4 m 2'
_symmetry_Int_Tables_number 119
_symmetry_space_group_name_Hall 'I -4 -2'
_cell_length_a 6.8650
_cell_length_b 6.8650
_cell_length_c 6.5550
_cell_angle_alpha 90.00
_cell_angle_beta 90.00
_cell_angle_gamma 90.00
loop_
_atom_site_label
_atom_site_fract_x
_atom_site_fract_y
_atom_site_fract_z
Pa1 0.0000 0.0000 0.0000
Ni1 0.0000 0.5000 0.7500
Ge1 0.0000 0.0000 0.5000
Ge2 0.0000 0.5000 0.2500
O1 0.0000 0.1916 0.6857
O2 0.0000 0.3069 0.0756